Computed, not measured: Sb2BrCl after structural relaxation at the GGA-PBE level of DFT.

distance to the lowest polymorph of the same formula: 0.0893 eV/atom
spin magnetization: 0.0000 μB per atom
raw total energy: -3.238 eV/atom

Lattice parameters (Å, degrees): 6.129 3.413 9.039 57.04 90.00 90.00
Atoms (fractional coordinates):
Sb1 0.000 0.146 0.112
Sb2 0.500 0.118 0.129
Cl1 0.500 0.571 0.814
Br1 0.000 0.665 0.446

---

Computed, not measured: SbBrCl3 after structural relaxation at the GGA-PBE level of DFT.

distance to the lowest polymorph of the same formula: 0.0000 eV/atom
spin magnetization: 0.0000 μB per atom
raw total energy: -2.933 eV/atom

Lattice parameters (Å, degrees): 7.628 7.364 7.779 74.19 90.60 101.88
Atoms (fractional coordinates):
Br1 0.795 0.945 0.149
Br2 0.335 0.390 0.736
Cl1 0.026 0.935 0.591
Cl2 0.557 0.442 0.279
Cl3 0.968 0.505 0.491
Cl4 0.393 0.845 0.830
Cl5 0.976 0.518 0.934
Cl6 0.364 0.830 0.389
Sb1 0.667 0.682 0.426
Sb2 0.175 0.672 0.683

---

Computed, not measured: SbBrCl3 after structural relaxation at the GGA-PBE level of DFT.

distance to the lowest polymorph of the same formula: 0.3286 eV/atom
spin magnetization: 0.1964 μB per atom
raw total energy: -2.605 eV/atom

Lattice parameters (Å, degrees): 5.309 5.309 5.309 90.00 90.00 90.00
Last column: magnetic moment on the atom in μB.
Atoms (fractional coordinates):
Cl1 0.000 0.000 0.500  0.05
Cl2 0.000 0.500 0.000  0.03
Cl3 0.500 0.000 0.000  0.04
Br1 0.500 0.500 0.500  0.60
Sb1 0.000 0.000 0.000  0.00

---

Computed, not measured: Sb2BrCl after structural relaxation at the GGA-PBE level of DFT.

distance to the lowest polymorph of the same formula: 0.3962 eV/atom
spin magnetization: 0.0000 μB per atom
raw total energy: -2.931 eV/atom

Lattice parameters (Å, degrees): 10.074 10.074 10.074 19.68 19.68 19.68
Atoms (fractional coordinates):
Cl1 0.750 0.750 0.750
Sb1 0.498 0.498 0.498
Sb2 0.002 0.002 0.002
Br1 0.250 0.250 0.250